Here is a relaxed structure of LiEu2CoO4 from Alexandria. Energies are from GGA+U.

Lattice parameters (Å, degrees): 8.906 8.906 8.906 156.05 156.05 34.12
Element x y z (fractional)
Li (0.500, 0.500, 0.000)
Eu (0.326, 0.326, 0.000)
Eu (0.674, 0.674, 0.000)
Co (0.000, 0.000, 0.000)
O (0.192, 0.192, 0.000)
O (0.000, 0.500, 0.500)
O (0.500, 0.000, 0.500)
O (0.808, 0.808, 0.000)

Summary:
The total energy comes out at -7.868 eV/atom. The energy above the most stable polymorph in this dataset comes out at 0.222 eV per atom. As for the density of states at the Fermi level: 21.2 states/eV/cell.